Computed, not measured: a relaxed Mn2Ni2Au crystal at the GGA-PBE level of DFT.

Unit cell a=6.969 b=6.969 c=2.796 alpha=90.00 beta=90.00 gamma=90.00
Site moments in Bohr magnetons follow the coordinates.
Fractional positions:
Ni 0.371 0.871 0.000  0.54
Ni 0.871 0.629 0.000  0.54
Ni 0.629 0.129 0.000  0.54
Ni 0.129 0.371 0.000  0.54
Mn 0.165 0.665 0.500  3.39
Mn 0.665 0.835 0.500  3.38
Mn 0.835 0.335 0.500  3.39
Mn 0.335 0.165 0.500  3.38
Au 0.000 0.000 0.000  0.01
Au 0.500 0.500 0.000  0.01

Space group: P4/mbm (127)
Total DFT energy (no corrections) in eV for the cell shown: -66.120
DOS(E_F) in states/eV per atom: 0.74
Energy of formation in eV/atom: 0.02
Crystal system: tetragonal